No. 1
DFT (GGA-PBE) results for a geometry-optimized NaDy3Ho2Te6 structure.

Cell and atoms, written as POSCAR:
```
NaDy3Ho2Te6
1.0
4.3492 0.0000 0.0000
0.0000 8.7759 0.2987
-2.1746 -2.5455 9.1915
Dy Ho Te Na
3 2 6 1
direct
0.8365 0.1759 0.6730 Dy
0.1635 0.8241 0.3270 Dy
0.5000 0.5000 0.0000 Dy
0.8308 0.6580 0.6617 Ho
0.1692 0.3420 0.3383 Ho
0.0028 0.2521 0.0056 Te
0.9972 0.7479 0.9944 Te
0.3343 0.4175 0.6686 Te
0.6657 0.5825 0.3314 Te
0.6689 0.0846 0.3378 Te
0.3311 0.9154 0.6622 Te
0.5000 0.0000 0.0000 Na
```

Values from the calculation:
Space-group type ... No. 12
Uncorrected formation energy ... -1.287 eV/atom

No. 2
DFT (GGA-PBE) results for a geometry-optimized AcMgCuAu structure.

Cell and atoms, written as POSCAR:
```
AcMgCuAu
1.0
5.1355 0.0000 0.0000
2.5677 4.4475 0.0000
2.5677 1.4825 4.1931
Ac Mg Au Cu
1 1 1 1
direct
0.7500 0.7500 0.7500 Ac
0.2500 0.2500 0.2500 Mg
0.0000 0.0000 0.0000 Au
0.5000 0.5000 0.5000 Cu
```

Values from the calculation:
Space-group type ... No. 216
ΔE_f ... -0.365 eV/atom

No. 3
DFT (GGA-PBE) results for a geometry-optimized TiH4Rh structure.

Cell and atoms, written as POSCAR:
```
TiH4Rh
1.0
0.0107 -2.7151 -3.3606
1.8794 -3.0212 2.4507
-5.0183 1.3283 1.6836
Rh H Ti
2 8 2
direct
0.8753 0.1246 0.2499 Rh
0.1247 0.8754 0.7501 Rh
0.2456 0.4996 0.4998 H
0.9998 0.7543 0.0004 H
0.4994 0.7541 0.9996 H
0.2459 0.9998 0.5002 H
0.5006 0.2459 0.0004 H
0.7541 0.0002 0.4998 H
0.7544 0.5004 0.5002 H
0.0002 0.2457 0.9996 H
0.3751 0.6249 0.2500 Ti
0.6249 0.3751 0.7500 Ti
```

Values from the calculation:
Space-group type ... No. 141
Uncorrected energy ... -5.00 eV/atom

Calculated M_tot (μB/f.u.), listed in the same order as above: 0.00; 0.00; 0.00